Record 1
A plane-wave DFT calculation with PBE was carried out for crystalline BW2Se at its relaxed geometry.

Results
The value obtained for the raw total energy is -8.752 eV per atom. As for the formation energy without anion corrections: 102 kJ/mol of formula units. The size of the total moment is 0.00 μB per atom. As for the symmetry: Cm, No. 8. The energy above the most stable polymorph in this dataset is 390 meV/atom.

Lattice parameters (Å, degrees): 4.746 3.107 8.453 90.00 110.25 90.00
Element x y z (fractional)
W  0.065  0.500  0.412
B  0.183  0.500  0.117
W  0.466  0.500  0.775
W  0.466  0.000  0.275
Se  0.652  0.000  0.033
B  0.183  0.000  0.617
Se  0.652  0.500  0.533
W  0.065  0.000  0.912

Record 2
A plane-wave DFT calculation with PBE was carried out for crystalline Sr2CaSn3Rh4 at its relaxed geometry.

Results
Its energy of formation from the pure elements is -613 meV per atom. The value obtained for the raw total energy is -5.291 eV per atom. The size of the total moment is 0.00 μB per atom. As for the symmetry: P-4m2, No. 115.

Lattice parameters (Å, degrees): 4.516 4.516 11.376 90.00 90.00 90.00
Element x y z (fractional)
Rh  0.000  0.000  0.000
Sr  0.000  0.500  0.763
Sn  0.500  0.000  0.878
Ca  0.500  0.500  0.500
Rh  0.000  0.500  0.356
Sn  0.000  0.000  0.500
Sn  0.000  0.500  0.122
Sr  0.500  0.000  0.237
Rh  0.500  0.000  0.644
Rh  0.500  0.500  0.000

Record 3
A plane-wave DFT calculation with PBE was carried out for crystalline La3BRu at its relaxed geometry.

Results
Its energy of formation from the pure elements is 416 meV per atom. The value obtained for the raw total energy is -5.731 eV per atom. The size of the total moment is 0.00 μB per atom. As for the symmetry: Pm-3m, No. 221. The energy above the most stable polymorph in this dataset is 0 meV/atom.

Lattice parameters (Å, degrees): 5.155 5.155 5.155 90.00 90.00 90.00
Element x y z (fractional)
La  0.500  0.000  0.000
La  0.000  0.000  0.500
La  0.000  0.500  0.000
Ru  0.500  0.500  0.500
B  0.000  0.000  0.000

Record 4
A plane-wave DFT calculation with PBE was carried out for crystalline CaMo2H2 at its relaxed geometry.

Results
The value obtained for the raw total energy is -5.825 eV per atom. The size of the total moment is 0.00 μB per atom. As for the symmetry: I4/mmm, No. 139. The energy above the most stable polymorph in this dataset is 0 meV/atom.

Lattice parameters (Å, degrees): 3.495 3.495 6.027 73.14 73.14 90.00
Element x y z (fractional)
H  0.250  0.750  0.500
Mo  0.686  0.686  0.628
H  0.750  0.250  0.500
Ca  0.000  0.000  0.000
Mo  0.314  0.314  0.372

Record 5
A plane-wave DFT calculation with PBE was carried out for crystalline Mg2CuReTe at its relaxed geometry.

Results
The value obtained for the raw total energy is -3.914 eV per atom. As for the formation energy without anion corrections: 319 kJ/mol of formula units. The size of the total moment is 0.40 μB per atom. As for the symmetry: P4/mmm, No. 123.

Lattice parameters (Å, degrees): 4.768 4.700 4.768 90.00 90.00 90.00
Site moments in Bohr magnetons follow the coordinates.
Element x y z (fractional)
Mg  0.500  0.000  0.000  -0.02
Te  0.500  0.500  0.500  -0.03
Mg  0.000  0.000  0.500  -0.02
Re  0.000  0.500  0.000  1.78
Cu  0.000  0.000  0.000  0.12

Record 6
A plane-wave DFT calculation with PBE was carried out for crystalline TiNi2OsW at its relaxed geometry.

Results
Its energy of formation from the pure elements is 1600 meV per atom. The value obtained for the raw total energy is -7.128 eV per atom. The size of the total moment is 0.00 μB per atom. As for the symmetry: P4/mmm, No. 123.

Lattice parameters (Å, degrees): 4.129 4.672 4.129 90.00 90.00 90.00
Element x y z (fractional)
Ni  0.500  0.000  0.000
Ni  0.000  0.000  0.500
Ti  0.000  0.000  0.000
Os  0.500  0.500  0.500
W  0.000  0.500  0.000

Record 7
A plane-wave DFT calculation with PBE was carried out for crystalline ErZn2Pd3 at its relaxed geometry.

Results
Its energy of formation from the pure elements is -716 meV per atom. The value obtained for the raw total energy is -4.498 eV per atom. The size of the total moment is 0.00 μB per atom. As for the symmetry: P6_3/mmc, No. 194.

Lattice parameters (Å, degrees): 4.400 4.400 12.218 90.00 90.00 120.00
Element x y z (fractional)
Zn  0.667  0.333  0.082
Pd  0.000  0.000  0.000
Pd  0.333  0.667  0.130
Zn  0.333  0.667  0.582
Pd  0.000  0.000  0.500
Er  0.000  0.000  0.250
Zn  0.333  0.667  0.918
Pd  0.333  0.667  0.370
Pd  0.667  0.333  0.870
Pd  0.667  0.333  0.630
Er  0.000  0.000  0.750
Zn  0.667  0.333  0.418

Record 8
A plane-wave DFT calculation with PBE was carried out for crystalline CsNaEuNb5O15 at its relaxed geometry.

Results
The value obtained for the raw total energy is -8.526 eV per atom. As for the formation energy without anion corrections: -5685 kJ/mol of formula units. The size of the total moment is 0.26 μB per atom. As for the symmetry: Pmc2_1, No. 26.

Lattice parameters (Å, degrees): 7.713 7.989 10.704 90.00 90.00 90.00
Site moments in Bohr magnetons follow the coordinates.
Element x y z (fractional)
Na  0.500  0.780  0.991  0.00
O  0.313  0.523  0.632  0.00
O  0.313  0.023  0.368  0.00
O  0.313  0.528  0.367  0.00
O  0.793  0.774  0.172  -0.03
O  0.185  0.524  0.000  -0.11
Eu  0.000  0.778  0.987  6.30
O  0.687  0.528  0.367  0.00
O  0.815  0.524  0.000  -0.11
O  0.313  0.028  0.633  0.00
O  0.269  0.773  0.837  -0.02
Eu  0.000  0.278  0.013  6.30
Nb  0.748  0.538  0.193  0.01
O  0.207  0.774  0.172  -0.03
O  0.000  0.483  0.221  -0.01
O  0.000  0.983  0.779  -0.01
O  0.000  0.556  0.778  -0.01
O  0.207  0.274  0.828  -0.03
Nb  0.252  0.538  0.193  0.01
O  0.500  0.271  0.497  0.00
Nb  0.256  0.534  0.805  0.01
O  0.731  0.273  0.163  -0.02
Nb  0.256  0.034  0.195  0.01
Nb  0.744  0.034  0.195  0.01
O  0.687  0.028  0.633  0.00
Cs  0.000  0.775  0.508  0.00
Na  0.500  0.280  0.009  0.00
O  0.687  0.523  0.632  0.00
Nb  0.500  0.499  0.498  0.00
O  0.185  0.024  0.000  -0.11
O  0.500  0.494  0.857  -0.01
Cs  0.000  0.275  0.492  0.00
O  0.269  0.273  0.163  -0.02
O  0.687  0.023  0.368  0.00
O  0.815  0.024  0.000  -0.11
O  0.500  0.049  0.858  -0.01
O  0.500  0.994  0.143  -0.01
O  0.500  0.771  0.503  0.00
O  0.731  0.773  0.837  -0.02
Nb  0.744  0.534  0.805  0.01
O  0.500  0.549  0.142  -0.01
Nb  0.748  0.038  0.807  0.01
O  0.000  0.056  0.222  -0.01
Nb  0.500  0.999  0.502  0.00
O  0.793  0.274  0.828  -0.03
Nb  0.252  0.038  0.807  0.01

Record 9
A plane-wave DFT calculation with PBE was carried out for crystalline YNi2Ir2 at its relaxed geometry.

Results
Its energy of formation from the pure elements is -122 meV per atom. The value obtained for the raw total energy is -7.272 eV per atom. The size of the total moment is 0.00 μB per atom. As for the symmetry: P4/mbm, No. 127. The energy above the most stable polymorph in this dataset is 106 meV/atom.

Lattice parameters (Å, degrees): 7.326 7.326 2.853 90.00 90.00 90.00
Element x y z (fractional)
Ir  0.128  0.628  0.000
Ni  0.330  0.830  0.500
Ni  0.830  0.670  0.500
Ir  0.372  0.128  0.000
Y  0.000  0.000  0.000
Y  0.500  0.500  0.000
Ir  0.628  0.872  0.000
Ir  0.872  0.372  0.000
Ni  0.170  0.330  0.500
Ni  0.670  0.170  0.500

Record 10
A plane-wave DFT calculation with PBE was carried out for crystalline BaAcS2 at its relaxed geometry.

Results
The value obtained for the raw total energy is -5.595 eV per atom. As for the formation energy without anion corrections: -781 kJ/mol of formula units. The size of the total moment is 0.00 μB per atom. As for the symmetry: P6_3/mmc, No. 194. The energy above the most stable polymorph in this dataset is 19 meV/atom.

Lattice parameters (Å, degrees): 4.372 4.372 14.790 90.00 90.00 120.00
Element x y z (fractional)
S  0.667  0.333  0.615
S  0.333  0.667  0.385
S  0.667  0.333  0.885
Ba  0.333  0.667  0.750
Ba  0.667  0.333  0.250
S  0.333  0.667  0.115
Ac  0.000  0.000  0.500
Ac  0.000  0.000  0.000

Record 11
A plane-wave DFT calculation with PBE was carried out for crystalline TbSmAsP at its relaxed geometry.

Results
Its energy of formation from the pure elements is -1548 meV per atom. The value obtained for the raw total energy is -6.400 eV per atom. The size of the total moment is 0.00 μB per atom. As for the symmetry: P4/mmm, No. 123.

Lattice parameters (Å, degrees): 4.126 4.127 5.826 89.99 90.00 90.00
Element x y z (fractional)
Tb  0.500  0.391  0.093
Sm  0.000  0.892  0.592
As  0.500  0.392  0.593
P  0.000  0.891  0.092

Record 12
A plane-wave DFT calculation with PBE was carried out for crystalline ZrTaCr at its relaxed geometry.

Results
Its energy of formation from the pure elements is 225 meV per atom. The value obtained for the raw total energy is -9.783 eV per atom. The size of the total moment is 0.00 μB per atom. As for the symmetry: Fmm2, No. 42. The energy above the most stable polymorph in this dataset is 184 meV/atom.

Lattice parameters (Å, degrees): 7.114 6.875 2.919 82.57 73.41 24.01
Element x y z (fractional)
Cr  0.993  0.993  0.007
Ta  0.351  0.351  0.649
Zr  0.655  0.655  0.345